(i)
The following is a PBE-GGA calculation of a relaxed Zn2CdGeSe crystal, from Alexandria via LeMat-Bulk.

Cell lengths 4.7310, 5.2763, 4.7310 Å; angles 90.00, 90.00, 90.00 degrees
Closest atoms and distances in Å follow each position.
Atoms (fractional coordinates):
Zn  0.0000  0.0000  0.5000  2 Ge 2.37
Zn  0.5000  0.0000  0.0000  2 Ge 2.37
Se  0.5000  0.5000  0.5000  4 Cd 3.35, 8 Zn 3.54
Ge  0.0000  0.0000  0.0000  4 Zn 2.37, 2 Cd 2.64
Cd  0.0000  0.5000  0.0000  2 Ge 2.64

Results
The total moment is 0.000 μB/atom.

***

(ii)
The following is a PBE-GGA calculation of a relaxed Zn2CdGeSe crystal, from Alexandria via LeMat-Bulk.

Cell lengths 4.9203, 5.3485, 4.9203 Å; angles 90.00, 90.00, 90.00 degrees
Closest atoms and distances in Å follow each position.
Atoms (fractional coordinates):
Cd  0.0000  0.0000  0.0000  4 Zn 2.46, 2 Ge 2.67
Se  0.5000  0.5000  0.5000  4 Ge 3.48, 8 Zn 3.63
Zn  0.0000  0.0000  0.5000  2 Cd 2.46
Zn  0.5000  0.0000  0.0000  2 Cd 2.46
Ge  0.0000  0.5000  0.0000  2 Cd 2.67

Results
The total moment is 0.000 μB/atom.

***

Which structure is most stable? (i), by 33.0 kJ/mol of atoms over the runner-up.